The following is a PBE-GGA calculation of an optimized crystal structure of HfNiSbRh2, from Alexandria.

## Properties
E_form (uncorrected) in eV/atom: 0.452
Fermi-level density of states in states/eV per cell: 8.2
Raw total energy in eV per atom: -6.460

Cell lengths 4.5860, 4.5860, 4.5191 Å; angles 90.00, 90.00, 90.00 degrees
Last column: nearest neighbours and their distance in Å.
Space group P4/mmm (No. 123)
One atom of each set of equivalent atoms:
Hf1 0.0000 0.0000 0.0000 x1  8 Rh 3.22, 4 Sb 3.24
Ni1 0.5000 0.5000 0.5000 x1  2 Sb 2.26, 4 Rh 2.29
Sb1 0.5000 0.5000 0.0000 x1  2 Ni 2.26
Rh1 0.0000 0.5000 0.5000 x2  2 Ni 2.29